Density functional theory data (GGA+U) for KCaDyWO6 after structural relaxation.

Structure (CIF):
```
data_KCaDyWO6
_cell_length_a 8.3440
_cell_length_b 8.3440
_cell_length_c 8.3440
_cell_angle_alpha 90.00
_cell_angle_beta 90.00
_cell_angle_gamma 90.00
_space_group_name_H-M_alt 'F -4 3 m'
_space_group_IT_number 216
_space_group_name_Hall 'F -4 2 3'
loop_
_atom_site_label
_atom_site_type_symbol
_atom_site_fract_x
_atom_site_fract_y
_atom_site_fract_z
K1 K 0.0000 0.0000 0.0000
Ca1 Ca 0.0000 0.0000 0.5000
Dy1 Dy 0.2500 0.2500 0.7500
W1 W 0.2500 0.2500 0.2500
O1 O 0.0165 0.2500 0.2500
```

Computed properties:
E in eV per atom: -7.062
N(E_F) in states/eV/f.u.: 0.00